1.
Entry from Alexandria via LeMat-Bulk: an optimized crystal structure of Tc2POs (PBE).

Cell: 2.863 2.863 6.605 Å, 90.00 90.00 90.00°
Element x y z (fractional)
Tc: 0.000 0.000 0.718
Tc: 0.000 0.000 0.282
P: 0.500 0.500 0.500
Os: 0.500 0.500 0.000

## Properties
SG   P4/mmm, No. 123
Crystal system   tetragonal
E   -9.5678 eV per atom
Magnetic moment   0.00 Bohr magnetons per cell
DOS(E_F)   3.21 states/eV per cell
Calculated formation energy   -0.225 eV per atom

=====

2.
Entry from Alexandria via LeMat-Bulk: an optimized crystal structure of Tc2POs (PBE).

Cell: 4.755 4.755 2.831 Å, 90.00 90.00 118.10°
Element x y z (fractional)
Tc: 0.000 0.500 0.000
Tc: 0.500 0.000 0.000
P: 0.000 0.000 0.500
Os: 0.500 0.500 0.500

## Properties
SG   Cmmm, No. 65
Crystal system   orthorhombic
E   -9.1446 eV per atom
Magnetic moment   0.00 Bohr magnetons per cell
DOS(E_F)   3.43 states/eV per cell
Calculated formation energy   0.198 eV per atom

=====

3.
Entry from Alexandria via LeMat-Bulk: an optimized crystal structure of Tc2POs (PBE).

Cell: 8.420 8.420 8.420 Å, 19.01 19.01 19.01°
Element x y z (fractional)
Tc: 0.744 0.744 0.744
Tc: 0.256 0.256 0.256
P: 0.000 0.000 0.000
Os: 0.500 0.500 0.500

## Properties
SG   R-3m, No. 166
Crystal system   trigonal
E   -9.4094 eV per atom
Magnetic moment   0.00 Bohr magnetons per cell
DOS(E_F)   2.24 states/eV per cell
Calculated formation energy   -0.066 eV per atom

=====

4.
Entry from Alexandria via LeMat-Bulk: an optimized crystal structure of TcPOs (PBE).

Cell: 6.508 6.201 2.842 Å, 83.20 71.10 25.70°
Element x y z (fractional)
Tc: 0.682 0.682 0.318
P: 0.334 0.334 0.666
Os: 0.985 0.985 0.015

## Properties
SG   Fmm2, No. 42
Crystal system   orthorhombic
E   -8.6366 eV per atom
Energy above the most stable polymorph in this dataset   521 meV per atom
Magnetic moment   0.00 Bohr magnetons per cell
DOS(E_F)   3.42 states/eV per cell
Calculated formation energy   0.365 eV per atom

=====

5.
Entry from Alexandria via LeMat-Bulk: an optimized crystal structure of TcPOs (PBE).

Cell: 8.822 7.874 8.591 Å, 146.71 142.99 18.22°
Element x y z (fractional)
Os: 0.428 0.522 0.305
Os: 0.572 0.478 0.695
Tc: 0.067 0.503 0.202
Tc: 0.933 0.497 0.798
P: 0.815 0.117 0.065
P: 0.185 0.883 0.935

## Properties
SG   P-1, No. 2
Crystal system   triclinic
E   -8.9136 eV per atom
Energy above the most stable polymorph in this dataset   244 meV per atom
Magnetic moment   0.00 Bohr magnetons per cell
DOS(E_F)   2.99 states/eV per cell
Calculated formation energy   0.088 eV per atom

=====

6.
Entry from Alexandria via LeMat-Bulk: an optimized crystal structure of Tc2POs (PBE).

Cell: 2.850 3.930 5.004 Å, 90.00 90.00 90.00°
Element x y z (fractional)
Tc: 0.000 0.000 0.744
Tc: 0.000 0.000 0.256
P: 0.500 0.500 0.500
Os: 0.500 0.500 0.000

## Properties
SG   Pmmm, No. 47
Crystal system   orthorhombic
E   -9.2285 eV per atom
Magnetic moment   0.00 Bohr magnetons per cell
DOS(E_F)   3.12 states/eV per cell
Calculated formation energy   0.114 eV per atom

=====

7.
Entry from Alexandria via LeMat-Bulk: an optimized crystal structure of Tc2P2Os (PBE).

Cell: 6.836 6.836 2.856 Å, 90.00 90.00 90.00°
Element x y z (fractional)
P: 0.346 0.846 0.000
P: 0.846 0.654 0.000
P: 0.654 0.154 0.000
P: 0.154 0.346 0.000
Os: 0.000 0.000 0.000
Os: 0.500 0.500 0.000
Tc: 0.149 0.649 0.500
Tc: 0.649 0.851 0.500
Tc: 0.851 0.351 0.500
Tc: 0.351 0.149 0.500

## Properties
SG   P4/mbm, No. 127
Crystal system   tetragonal
E   -8.6181 eV per atom
Magnetic moment   0.00 Bohr magnetons per cell
DOS(E_F)   7.40 states/eV per cell
Calculated formation energy   -0.062 eV per atom

=====

8.
Entry from Alexandria via LeMat-Bulk: an optimized crystal structure of Tc2POs (PBE).

Cell: 5.067 5.067 5.067 Å, 146.74 129.39 61.92°
Element x y z (fractional)
Tc: 0.717 0.717 0.000
Tc: 0.283 0.283 0.000
P: 0.500 0.000 0.500
Os: 0.000 0.500 0.500

## Properties
SG   Immm, No. 71
Crystal system   orthorhombic
E   -9.4776 eV per atom
Magnetic moment   0.00 Bohr magnetons per cell
DOS(E_F)   2.88 states/eV per cell
Calculated formation energy   -0.135 eV per atom

=====

9.
Entry from Alexandria via LeMat-Bulk: an optimized crystal structure of Tc2POs (PBE).

Cell: 2.927 4.348 4.396 Å, 90.00 90.00 90.00°
Element x y z (fractional)
Tc: 0.000 0.000 0.000
Tc: 0.500 0.500 0.000
P: 0.000 0.500 0.500
Os: 0.500 0.000 0.500

## Properties
SG   Pmmm, No. 47
Crystal system   orthorhombic
E   -9.1288 eV per atom
Magnetic moment   0.00 Bohr magnetons per cell
DOS(E_F)   2.91 states/eV per cell
Calculated formation energy   0.214 eV per atom

=====

10.
Entry from Alexandria via LeMat-Bulk: an optimized crystal structure of Tc2POs (PBE).

Cell: 5.106 5.106 5.106 Å, 147.33 129.68 61.29°
Element x y z (fractional)
Tc: 0.966 0.966 0.000
Tc: 0.251 0.751 0.500
P: 0.749 0.249 0.500
Os: 0.534 0.534 0.000

## Properties
SG   Imm2, No. 44
Crystal system   orthorhombic
E   -9.5319 eV per atom
Magnetic moment   0.00 Bohr magnetons per cell
DOS(E_F)   2.93 states/eV per cell
Calculated formation energy   -0.189 eV per atom

=====

11.
Entry from Alexandria via LeMat-Bulk: an optimized crystal structure of TcPOs (PBE).

Cell: 5.198 5.198 5.198 Å, 147.73 147.73 46.29°
Element x y z (fractional)
Tc: 0.684 0.684 0.000
P: 0.332 0.332 0.000
Os: 0.984 0.984 0.000

## Properties
SG   I4mm, No. 107
Crystal system   tetragonal
E   -9.1572 eV per atom
Energy above the most stable polymorph in this dataset   0 meV per atom
Magnetic moment   0.00 Bohr magnetons per cell
DOS(E_F)   2.12 states/eV per cell
Calculated formation energy   -0.155 eV per atom

=====

12.
Entry from Alexandria via LeMat-Bulk: an optimized crystal structure of Tc2POs (PBE).

Cell: 4.759 4.759 4.759 Å, 133.87 133.87 67.29°
Element x y z (fractional)
Tc: 0.750 0.250 0.500
Tc: 0.250 0.750 0.500
P: 0.000 0.000 0.000
Os: 0.500 0.500 0.000

## Properties
SG   I4/mmm, No. 139
Crystal system   tetragonal
E   -9.1707 eV per atom
Magnetic moment   0.00 Bohr magnetons per cell
DOS(E_F)   4.15 states/eV per cell
Calculated formation energy   0.172 eV per atom